Below is a relaxed structure of Rb3Tl5Hg6, with properties calculated at the GGA-PBE level.

```
Rb3Tl5Hg6
1.0
-0.241 3.075 -4.528
-10.604 1.318 1.460
2.854 13.202 8.814
Tl Hg Rb
10 12 6
Cartesian
-7.706 9.947 7.165 Tl
-1.268 8.459 2.497 Tl
-5.222 2.466 1.953 Tl
-3.133 12.130 8.404 Tl
-0.661 3.815 -0.689 Tl
-8.637 5.642 4.291 Tl
-8.030 0.998 1.105 Tl
-4.076 6.991 1.650 Tl
1.262 12.712 5.251 Tl
-3.311 10.529 4.012 Tl
0.652 6.698 4.514 Hg
-3.765 4.177 -0.277 Hg
-4.612 9.539 6.723 Hg
-7.730 12.576 8.952 Hg
1.287 10.083 3.464 Hg
-6.027 2.272 -1.451 Hg
-1.832 13.120 5.693 Hg
0.469 6.301 0.939 Hg
-9.767 3.156 2.663 Hg
-5.532 5.279 3.880 Hg
-3.271 7.185 5.054 Hg
-9.950 2.759 -0.911 Hg
-5.733 13.054 5.856 Rb
-2.454 0.305 0.338 Rb
-1.864 4.272 3.000 Rb
-7.434 5.185 0.602 Rb
-6.844 9.152 3.265 Rb
-0.711 9.605 6.561 Rb
```

VASP energy (eV/atom): -1.310
Size of the total moment (μB/f.u.): 0.00
Calculated density (g/cm³): 8.6
N(E_F) (states/eV/cell): 15.27
Formation energy (kJ/mol of formula units): -173